Record 1
Material: RuC
Method: DFT, PBEsol
State: optimized geometry

raw total energy: -36.58 eV for the cell shown
mass density: 9.46 Mg/m³

Cell and atoms, written as CIF:
```
data_RuC
_cell_length_a 3.333
_cell_length_b 4.159
_cell_length_c 2.865
_cell_angle_alpha 90.00
_cell_angle_beta 90.00
_cell_angle_gamma 90.00
_symmetry_space_group_name_H-M 'P m m n'
_symmetry_Int_Tables_number 59
loop_
_symmetry_equiv_pos_as_xyz
'x,y,z'
'-x,-y,-z'
'-x+1/2,-y+1/2,z'
'x+1/2,y+1/2,-z'
'x+1/2,-y,-z'
'-x+1/2,y,z'
'-x,y+1/2,-z'
'x,-y+1/2,z'
loop_
_atom_site_label
_atom_site_type_symbol
_atom_site_fract_x
_atom_site_fract_y
_atom_site_fract_z
Ru1 Ru 0.250 0.250 0.113
C1 C 0.250 0.750 0.274
```



Record 2
Material: AlNi2W
Method: DFT, PBEsol
State: optimized geometry

raw total energy: -61.08 eV for the cell shown
mass density: 10.67 Mg/m³

Cell and atoms, written as CIF:
```
data_AlNi2W
_cell_length_a 8.283
_cell_length_b 2.645
_cell_length_c 4.715
_cell_angle_alpha 90.00
_cell_angle_beta 98.63
_cell_angle_gamma 90.00
_symmetry_space_group_name_H-M 'C 1 2/m 1'
_symmetry_Int_Tables_number 12
loop_
_symmetry_equiv_pos_as_xyz
'x,y,z'
'-x,-y,-z'
'-x,y,-z'
'x,-y,z'
'x+1/2,y+1/2,z'
'-x+1/2,-y+1/2,-z'
'-x+1/2,y+1/2,-z'
'x+1/2,-y+1/2,z'
loop_
_atom_site_label
_atom_site_type_symbol
_atom_site_fract_x
_atom_site_fract_y
_atom_site_fract_z
Al1 Al 0.000 0.000 0.000
Ni1 Ni 0.246 0.500 0.256
W1 W 0.000 0.500 0.500
```



Record 3
Material: Na2SnC
Method: DFT, PBEsol
State: optimized geometry

raw total energy: -47.13 eV for the cell shown
mass density: 3.88 Mg/m³

Cell and atoms, written as CIF:
```
data_Na2SnC
_cell_length_a 6.712
_cell_length_b 6.712
_cell_length_c 6.712
_cell_angle_alpha 90.00
_cell_angle_beta 90.00
_cell_angle_gamma 90.00
_symmetry_space_group_name_H-M 'F m -3 m'
_symmetry_Int_Tables_number 225
_symmetry_space_group_name_Hall '-F 4 2 3'
loop_
_atom_site_label
_atom_site_type_symbol
_atom_site_fract_x
_atom_site_fract_y
_atom_site_fract_z
Na1 Na 0.250 0.250 0.250
Sn1 Sn 0.000 0.000 0.000
C1 C 0.000 0.000 0.500
```



Record 4
Material: MnAl3Sb
Method: DFT, PBEsol
State: optimized geometry

mass density: 3.01 Mg/m³
ΔE_f (raw): 1.303 eV per atom

Cell and atoms, written as CIF:
```
data_MnAl3Sb
_cell_length_a 5.216
_cell_length_b 5.216
_cell_length_c 5.216
_cell_angle_alpha 90.00
_cell_angle_beta 90.00
_cell_angle_gamma 90.00
_symmetry_space_group_name_H-M 'P m -3 m'
_symmetry_Int_Tables_number 221
_symmetry_space_group_name_Hall '-P 4 2 3'
loop_
_atom_site_label
_atom_site_type_symbol
_atom_site_fract_x
_atom_site_fract_y
_atom_site_fract_z
Mn1 Mn 0.000 0.000 0.000
Al1 Al 0.000 0.500 0.500
Sb1 Sb 0.500 0.500 0.500
```



Record 5
Material: NiAuSCl2
Method: DFT, PBEsol
State: optimized geometry

mass density: 5.30 Mg/m³
ΔE_f (raw): 0.742 eV per atom

Cell and atoms, written as CIF:
```
data_NiAuSCl2
_cell_length_a 4.763
_cell_length_b 4.763
_cell_length_c 4.949
_cell_angle_alpha 90.00
_cell_angle_beta 90.00
_cell_angle_gamma 90.00
_symmetry_space_group_name_H-M 'P 4/m m m'
_symmetry_Int_Tables_number 123
_symmetry_space_group_name_Hall '-P 4 2'
loop_
_atom_site_label
_atom_site_type_symbol
_atom_site_fract_x
_atom_site_fract_y
_atom_site_fract_z
Ni1 Ni 0.000 0.000 0.000
Au1 Au 0.500 0.500 0.500
S1 S 0.500 0.500 0.000
Cl1 Cl 0.000 0.500 0.500
```



Record 6
Material: Hg2SbIr
Method: DFT, PBEsol
State: optimized geometry

mass density: 14.37 Mg/m³
ΔE_f (raw): 0.338 eV per atom

Cell and atoms, written as CIF:
```
data_Hg2SbIr
_cell_length_a 5.590
_cell_length_b 5.641
_cell_length_c 5.241
_cell_angle_alpha 90.00
_cell_angle_beta 90.00
_cell_angle_gamma 90.00
_symmetry_space_group_name_H-M 'C m m m'
_symmetry_Int_Tables_number 65
_symmetry_space_group_name_Hall '-C 2 2'
loop_
_atom_site_label
_atom_site_type_symbol
_atom_site_fract_x
_atom_site_fract_y
_atom_site_fract_z
Hg1 Hg 0.242 0.000 0.000
Sb1 Sb 0.000 0.500 0.500
Ir1 Ir 0.000 0.000 0.500
```



Record 7
Material: Ta2PCl
Method: DFT, PBEsol
State: optimized geometry

mass density: 11.16 Mg/m³
ΔE_f (raw): -0.155 eV per atom

Cell and atoms, written as CIF:
```
data_Ta2PCl
_cell_length_a 3.0629
_cell_length_b 3.0629
_cell_length_c 23.5304
_cell_angle_alpha 90.00
_cell_angle_beta 90.00
_cell_angle_gamma 120.00
_symmetry_space_group_name_H-M 'R -3 m'
_symmetry_Int_Tables_number 166
_symmetry_space_group_name_Hall '-R 3 2"'
loop_
_atom_site_label
_atom_site_type_symbol
_atom_site_fract_x
_atom_site_fract_y
_atom_site_fract_z
Ta1 Ta 0.0000 0.0000 0.2434
P1 P 0.0000 0.0000 0.5000
Cl1 Cl 0.0000 0.0000 0.0000
```



Record 8
Material: Mg2TaFe
Method: DFT, PBEsol
State: optimized geometry

raw total energy: -69.88 eV for the cell shown
mass density: 7.02 Mg/m³

Cell and atoms, written as CIF:
```
data_Mg2TaFe
_cell_length_a 2.8434
_cell_length_b 2.8434
_cell_length_c 28.9259
_cell_angle_alpha 90.00
_cell_angle_beta 90.00
_cell_angle_gamma 120.00
_symmetry_space_group_name_H-M 'R -3 m'
_symmetry_Int_Tables_number 166
_symmetry_space_group_name_Hall '-R 3 2"'
loop_
_atom_site_label
_atom_site_type_symbol
_atom_site_fract_x
_atom_site_fract_y
_atom_site_fract_z
Mg1 Mg 0.0000 0.0000 0.2427
Ta1 Ta 0.0000 0.0000 0.0000
Fe1 Fe 0.0000 0.0000 0.5000
```



Record 9
Material: Mn2NiO3
Method: DFT, PBEsol
State: optimized geometry

mass density: 6.19 Mg/m³
ΔE_f (raw): -0.908 eV per atom

Cell and atoms, written as CIF:
```
data_Mn2NiO3
_cell_length_a 3.0643
_cell_length_b 3.0643
_cell_length_c 7.1394
_cell_angle_alpha 90.00
_cell_angle_beta 90.00
_cell_angle_gamma 120.00
_symmetry_space_group_name_H-M 'P -3 m 1'
_symmetry_Int_Tables_number 164
_symmetry_space_group_name_Hall '-P 3 2"'
loop_
_atom_site_label
_atom_site_type_symbol
_atom_site_fract_x
_atom_site_fract_y
_atom_site_fract_z
Mn1 Mn 0.3333 0.6667 0.1790
Ni1 Ni 0.0000 0.0000 0.5000
O1 O 0.0000 0.0000 0.0000
O2 O 0.3333 0.6667 0.6674
```



Record 10
Material: InCo2Os
Method: DFT, PBEsol
State: optimized geometry

raw total energy: -114.92 eV for the cell shown
mass density: 12.77 Mg/m³

Cell and atoms, written as CIF:
```
data_InCo2Os
_cell_length_a 6.036
_cell_length_b 6.036
_cell_length_c 6.036
_cell_angle_alpha 90.00
_cell_angle_beta 90.00
_cell_angle_gamma 90.00
_symmetry_space_group_name_H-M 'F -4 3 m'
_symmetry_Int_Tables_number 216
_symmetry_space_group_name_Hall 'F -4 2 3'
loop_
_atom_site_label
_atom_site_type_symbol
_atom_site_fract_x
_atom_site_fract_y
_atom_site_fract_z
In1 In 0.000 0.000 0.000
Co1 Co 0.000 0.000 0.500
Co2 Co 0.250 0.250 0.250
Os1 Os 0.250 0.250 0.750
```



Record 11
Material: Li2AgH2
Method: DFT, PBEsol
State: optimized geometry

raw total energy: -28.56 eV for the cell shown
mass density: 4.05 Mg/m³

Cell and atoms, written as CIF:
```
data_Li2AgH2
_cell_length_a 5.769
_cell_length_b 5.769
_cell_length_c 3.050
_cell_angle_alpha 90.00
_cell_angle_beta 90.00
_cell_angle_gamma 90.00
_symmetry_space_group_name_H-M 'P 4/m b m'
_symmetry_Int_Tables_number 127
_symmetry_space_group_name_Hall '-P 4 2ab'
loop_
_atom_site_label
_atom_site_type_symbol
_atom_site_fract_x
_atom_site_fract_y
_atom_site_fract_z
Li1 Li 0.166 0.334 0.000
Ag1 Ag 0.000 0.000 0.500
H1 H 0.177 0.677 0.500
```



Record 12
Material: ZrFe2W
Method: DFT, PBEsol
State: optimized geometry

raw total energy: -40.60 eV for the cell shown
mass density: 11.48 Mg/m³

Cell and atoms, written as CIF:
```
data_ZrFe2W
_cell_length_a 2.915
_cell_length_b 4.161
_cell_length_c 4.703
_cell_angle_alpha 90.00
_cell_angle_beta 101.21
_cell_angle_gamma 90.00
_symmetry_space_group_name_H-M 'P 1 m 1'
_symmetry_Int_Tables_number 6
loop_
_symmetry_equiv_pos_as_xyz
'x,y,z'
'x,-y,z'
loop_
_atom_site_label
_atom_site_type_symbol
_atom_site_fract_x
_atom_site_fract_y
_atom_site_fract_z
Zr1 Zr 0.000 0.000 0.000
Fe1 Fe 0.537 0.500 0.109
Fe2 Fe 0.643 0.000 0.477
W1 W 0.203 0.500 0.560
```



Record 13
Material: TaCoBr2
Method: DFT, PBEsol
State: optimized geometry

mass density: 10.54 Mg/m³
ΔE_f (raw): 0.684 eV per atom

Cell and atoms, written as CIF:
```
data_TaCoBr2
_cell_length_a 6.316
_cell_length_b 6.316
_cell_length_c 6.316
_cell_angle_alpha 90.00
_cell_angle_beta 90.00
_cell_angle_gamma 90.00
_symmetry_space_group_name_H-M 'F m -3 m'
_symmetry_Int_Tables_number 225
_symmetry_space_group_name_Hall '-F 4 2 3'
loop_
_atom_site_label
_atom_site_type_symbol
_atom_site_fract_x
_atom_site_fract_y
_atom_site_fract_z
Ta1 Ta 0.000 0.000 0.000
Co1 Co 0.000 0.000 0.500
Br1 Br 0.250 0.250 0.250
```